i) # MgTlMo2 PBEsol relaxed
data_MgTlMo2
_chemical_formula_sum 'Mg1 Tl1 Mo2'
_cell_length_a 3.892
_cell_length_b 3.892
_cell_length_c 4.538
_cell_angle_alpha 90.00
_cell_angle_beta 90.00
_cell_angle_gamma 90.00
_symmetry_space_group_name_H-M 'P 4/m m m'
_symmetry_Int_Tables_number 123
_symmetry_space_group_name_Hall '-P 4 2'
loop_
_atom_site_label
_atom_site_type_symbol
_atom_site_fract_x
_atom_site_fract_y
_atom_site_fract_z
Mg1 Mg 0.000 0.000 0.000
Tl1 Tl 0.500 0.500 0.000
Mo1 Mo 0.000 0.500 0.500
# Total magnetic moment ... 0.0000 μB/atom

=====

ii) # MgTlMo2 PBEsol relaxed
data_MgTlMo2
_chemical_formula_sum 'Mg2 Tl2 Mo4'
_cell_length_a 9.435
_cell_length_b 2.822
_cell_length_c 5.288
_cell_angle_alpha 90.00
_cell_angle_beta 94.57
_cell_angle_gamma 90.00
_symmetry_space_group_name_H-M 'C 1 m 1'
_symmetry_Int_Tables_number 8
loop_
_symmetry_equiv_pos_as_xyz
'x,y,z'
'x,-y,z'
'x+1/2,y+1/2,z'
'x+1/2,-y+1/2,z'
loop_
_atom_site_label
_atom_site_type_symbol
_atom_site_fract_x
_atom_site_fract_y
_atom_site_fract_z
Mg1 Mg 0.000 0.000 0.000
Tl1 Tl 0.250 0.000 0.762
Mo1 Mo 0.007 0.500 0.476
Mo2 Mo 0.249 0.500 0.270
# Total magnetic moment ... 0.0001 μB/atom

=====

Bottom line: i), by a margin of 10 meV per atom.

=====

i) # NaMgS2N PBEsol relaxed
data_NaMgS2N
_chemical_formula_sum 'Na1 Mg1 S2 N1'
_cell_length_a 4.864
_cell_length_b 4.864
_cell_length_c 4.219
_cell_angle_alpha 90.00
_cell_angle_beta 90.00
_cell_angle_gamma 90.00
_symmetry_space_group_name_H-M 'P 4/m m m'
_symmetry_Int_Tables_number 123
_symmetry_space_group_name_Hall '-P 4 2'
loop_
_atom_site_label
_atom_site_type_symbol
_atom_site_fract_x
_atom_site_fract_y
_atom_site_fract_z
Na1 Na 0.000 0.000 0.000
Mg1 Mg 0.500 0.500 0.500
S1 S 0.000 0.500 0.500
N1 N 0.500 0.500 0.000
# Total magnetic moment ... 0.7000 μB/atom

=====

ii) # NaMgS2N PBEsol relaxed
data_NaMgS2N
_chemical_formula_sum 'Na1 Mg1 S2 N1'
_cell_length_a 4.903
_cell_length_b 4.903
_cell_length_c 4.189
_cell_angle_alpha 90.00
_cell_angle_beta 90.00
_cell_angle_gamma 90.00
_symmetry_space_group_name_H-M 'P 4/m m m'
_symmetry_Int_Tables_number 123
_symmetry_space_group_name_Hall '-P 4 2'
loop_
_atom_site_label
_atom_site_type_symbol
_atom_site_fract_x
_atom_site_fract_y
_atom_site_fract_z
Na1 Na 0.000 0.000 0.000
Mg1 Mg 0.500 0.500 0.500
S1 S 0.000 0.500 0.000
N1 N 0.000 0.000 0.500
# Total magnetic moment ... 0.6825 μB/atom

=====

Bottom line: i), by a margin of 618 meV per atom.